## Bi3Te2I2 (PBE)

Data for a relaxed structure of Bi3Te2I2.

Values from the calculation:
Its total energy is -44.5 eV/cell. As for the space-group type: P2_1/c (14). The crystal system is monoclinic. The energy relative to the elements, uncorrected comes out at -0.18 eV per atom.

Cell lengths 6.362, 14.305, 6.787 Å; angles 90.00, 83.21, 90.00 degrees
Fractional coordinates of all 14 atoms:
Bi  0.000  0.000  0.000
Bi  0.305  0.002  0.348
Bi  0.695  0.998  0.652
Bi  0.195  0.502  0.652
Bi  0.805  0.498  0.348
Bi  0.500  0.500  0.000
I  0.344  0.850  0.876
I  0.156  0.350  0.124
I  0.844  0.650  0.876
I  0.656  0.150  0.124
Te  0.572  0.366  0.619
Te  0.428  0.634  0.381
Te  0.928  0.866  0.381
Te  0.072  0.134  0.619